Below is an optimized crystal structure of LiTa2Cu, with properties calculated at the GGA-PBE level.

- Formation enthalpy at 0 K: 0.3280 eV/atom

extended XYZ file:
```
4
Lattice="2.668 0.000 0.000 0.000 4.731 0.000 -0.920 0.000 5.067" Properties=species:S:1:pos:R:3 pbc="T T T"
Li 0.000 0.000 0.000
Ta -0.046 2.366 3.796
Ta 1.794 2.366 1.270
Cu 0.874 0.000 2.533
```